No. 1
The following is a DFT calculation (GGA-PBE) of a relaxed MnBe4Si crystal.

a = 3.319 Å, b = 5.018 Å, c = 7.068 Å
α = 90.00°, β = 90.00°, γ = 109.31°
Site moments in Bohr magnetons follow the coordinates.
Atoms (fractional coordinates):
Mn1 0.333 0.667 0.303  1.12
Mn2 0.667 0.333 0.803  1.12
Be1 0.993 0.985 0.794  -0.01
Be2 0.007 0.015 0.294  -0.01
Be3 0.498 0.996 0.055  0.00
Be4 0.502 0.004 0.555  0.00
Be5 0.160 0.319 0.560  -0.01
Be6 0.840 0.681 0.060  -0.01
Be7 0.344 0.689 0.810  0.00
Be8 0.656 0.311 0.310  0.00
Si1 0.171 0.342 0.045  -0.02
Si2 0.829 0.658 0.545  -0.02

* calculated volume: 111.08 Å³ per cell
* space group: No. 36
* formation energy (no corrections): -76 meV per atom



No. 2
The following is a DFT calculation (GGA-PBE) of a relaxed Th4Ir2Pb5 crystal.

a = 3.813 Å, b = 8.254 Å, c = 9.908 Å
α = 94.49°, β = 90.00°, γ = 90.00°
Atoms (fractional coordinates):
Th1 0.500 0.205 0.434
Th2 0.500 0.802 0.160
Th3 0.500 0.795 0.566
Th4 0.500 0.198 0.840
Ir1 0.000 0.915 0.365
Ir2 0.000 0.085 0.635
Pb1 0.000 0.469 0.667
Pb2 0.000 0.851 0.865
Pb3 0.000 0.500 0.000
Pb4 0.000 0.149 0.135
Pb5 0.000 0.531 0.333

* energy relative to the elements: -11.6 kcal/mol of atoms
* calculated volume: 310.90 Å³ per cell
* space group: No. 10



No. 3
The following is a DFT calculation (GGA-PBE) of a relaxed V3Co20B6 crystal.

a = 7.355 Å, b = 7.355 Å, c = 7.355 Å
α = 60.00°, β = 60.00°, γ = 60.00°
Site moments in Bohr magnetons follow the coordinates.
Atoms (fractional coordinates):
V1 0.000 0.000 0.000  -0.81
V2 0.750 0.750 0.750  -0.42
V3 0.250 0.250 0.250  -0.42
Co1 0.620 0.620 0.140  0.38
Co2 0.620 0.140 0.620  0.38
Co3 0.140 0.620 0.620  0.38
Co4 0.620 0.620 0.620  0.38
Co5 0.380 0.380 0.860  0.38
Co6 0.380 0.860 0.380  0.38
Co7 0.860 0.380 0.380  0.38
Co8 0.380 0.380 0.380  0.38
Co9 0.000 0.000 0.339  0.97
Co10 0.661 0.000 0.339  0.97
Co11 0.000 0.661 0.339  0.97
Co12 0.661 0.339 0.000  0.97
Co13 0.000 0.339 0.000  0.97
Co14 0.000 0.339 0.661  0.97
Co15 0.339 0.661 0.000  0.97
Co16 0.339 0.000 0.661  0.97
Co17 0.339 0.000 0.000  0.97
Co18 0.000 0.000 0.661  0.97
Co19 0.000 0.661 0.000  0.97
Co20 0.661 0.000 0.000  0.97
B1 0.726 0.726 0.274  -0.05
B2 0.274 0.726 0.274  -0.05
B3 0.726 0.274 0.274  -0.05
B4 0.274 0.274 0.726  -0.05
B5 0.726 0.274 0.726  -0.05
B6 0.274 0.726 0.726  -0.05

* energy relative to the elements: -6.3 kcal/mol of atoms
* calculated volume: 281.28 Å³ per cell
* space group: No. 225



Please write out number 2 again, unchanged.
The following is a DFT calculation (GGA-PBE) of a relaxed Th4Ir2Pb5 crystal.

a = 3.813 Å, b = 8.254 Å, c = 9.908 Å
α = 94.49°, β = 90.00°, γ = 90.00°
Atoms (fractional coordinates):
Th1 0.500 0.205 0.434
Th2 0.500 0.802 0.160
Th3 0.500 0.795 0.566
Th4 0.500 0.198 0.840
Ir1 0.000 0.915 0.365
Ir2 0.000 0.085 0.635
Pb1 0.000 0.469 0.667
Pb2 0.000 0.851 0.865
Pb3 0.000 0.500 0.000
Pb4 0.000 0.149 0.135
Pb5 0.000 0.531 0.333

* energy relative to the elements: -11.6 kcal/mol of atoms
* calculated volume: 310.90 Å³ per cell
* space group: No. 10